Below is an optimized crystal structure of KMg3, with properties calculated at the PBE-GGA level.

Lattice parameters (Å, degrees): 11.4329 11.4329 3.2116 90.00 90.00 120.00
With the nearest neighbours (Å) after each atom.
Space group R-3m (No. 166, hexagonal axes)
Unique sites:
K 0.0000 0.0000 0.0000 x3  2 K 3.21, 6 Mg 3.47
Mg 0.0000 0.5000 0.0000 x9  6 Mg 3.21-3.47, 2 K 3.47

Summary:
E_form = 0.96 eV per formula unit
Size of the total moment = 0.00 μB per atom
Fermi-level density of states = 0.326 states/eV per atom